! YIr2Au PBE optimized geometry; values from VASP
&SYSTEM
  ibrav = 0, nat = 4, ntyp = 3
/
ATOMIC_SPECIES
Y 88.91 Y.upf
Ir 192.22 Ir.upf
Au 196.97 Au.upf
ATOMIC_POSITIONS angstrom
Y 0.000 0.000 0.000
Ir 1.655 1.655 1.655
Ir 4.966 4.966 4.966
Au 3.311 3.311 3.311
CELL_PARAMETERS angstrom
0.000 3.311 3.311
3.311 0.000 3.311
3.311 3.311 0.000
! Energy of formation (eV per atom): -0.0642
! Relative energy among the computed polymorphs (meV per atom): 313.5


! Sr2Ga2Sn PBE optimized geometry; values from VASP
&SYSTEM
  ibrav = 0, nat = 5, ntyp = 3
/
ATOMIC_SPECIES
Sr 87.62 Sr.upf
Ga 69.72 Ga.upf
Sn 118.71 Sn.upf
ATOMIC_POSITIONS angstrom
Sr 2.569 0.000 3.066
Sr 0.000 2.569 3.066
Ga 0.000 0.000 1.165
Ga 0.000 0.000 11.099
Sn 0.000 0.000 6.132
CELL_PARAMETERS angstrom
-2.569 2.569 6.132
2.569 -2.569 6.132
2.569 2.569 -6.132
! Energy of formation (eV per atom): -0.0768
! Relative energy among the computed polymorphs (meV per atom): 399.9


! CaDyHo PBE optimized geometry; values from VASP
&SYSTEM
  ibrav = 0, nat = 6, ntyp = 3
/
ATOMIC_SPECIES
Ca 40.08 Ca.upf
Dy 162.50 Dy.upf
Ho 164.93 Ho.upf
ATOMIC_POSITIONS angstrom
Ca 1.225 1.225 1.563
Ca 3.674 3.674 7.271
Dy 1.225 3.674 4.417
Dy 3.674 1.225 4.417
Ho 1.225 1.225 6.895
Ho 3.674 3.674 1.938
CELL_PARAMETERS angstrom
4.898 0.000 0.000
0.000 4.898 0.000
0.000 0.000 8.834
! Energy of formation (eV per atom): 0.2792
! Relative energy among the computed polymorphs (meV per atom): 210.3


! AsPC2 PBE optimized geometry; values from VASP
&SYSTEM
  ibrav = 0, nat = 4, ntyp = 3
/
ATOMIC_SPECIES
As 74.92 As.upf
P 30.97 P.upf
C 12.01 C.upf
ATOMIC_POSITIONS angstrom
As 0.000 0.000 0.000
P 0.000 0.000 12.320
C 0.000 0.000 5.345
C 0.000 0.000 6.854
CELL_PARAMETERS angstrom
1.507 0.870 7.830
-1.507 0.870 7.830
0.000 -1.741 7.830
! Energy of formation (eV per atom): 0.5431
! Relative energy among the computed polymorphs (meV per atom): 0.0


! SmY3Tm2As6 PBE optimized geometry; values from VASP
&SYSTEM
  ibrav = 0, nat = 12, ntyp = 4
/
ATOMIC_SPECIES
Sm 150.36 Sm.upf
Y 88.91 Y.upf
Tm 168.93 Tm.upf
As 74.92 As.upf
ATOMIC_POSITIONS angstrom
Sm 0.000 0.000 0.000
Y 2.379 4.136 3.364
Y 2.379 0.000 3.364
Y 2.379 -4.136 3.364
Tm 3.568 2.065 0.000
Tm 3.568 -2.065 0.000
As 1.208 2.091 1.677
As 0.039 0.000 5.058
As 1.208 -2.091 1.677
As 3.550 2.091 5.051
As 4.720 0.000 1.670
As 3.550 -2.091 5.051
CELL_PARAMETERS angstrom
3.568 -6.179 0.000
3.568 6.179 0.000
-2.377 0.000 6.728
! Energy of formation (eV per atom): -1.5303


! RbSnB PBE optimized geometry; values from VASP
&SYSTEM
  ibrav = 0, nat = 6, ntyp = 3
/
ATOMIC_SPECIES
Rb 85.47 Rb.upf
Sn 118.71 Sn.upf
B 10.81 B.upf
ATOMIC_POSITIONS angstrom
Rb 0.000 -5.021 3.591
Rb 0.000 5.021 3.591
Sn 1.644 -1.524 3.324
Sn 1.644 1.524 3.324
B 0.842 0.000 5.182
B 2.446 0.000 5.182
CELL_PARAMETERS angstrom
3.288 0.000 0.000
0.000 7.264 3.591
0.000 -7.264 3.591
! Energy of formation (eV per atom): 0.1555


! AlMo2As PBE optimized geometry; values from VASP
&SYSTEM
  ibrav = 0, nat = 4, ntyp = 3
/
ATOMIC_SPECIES
Al 26.98 Al.upf
Mo 95.94 Mo.upf
As 74.92 As.upf
ATOMIC_POSITIONS angstrom
Al 0.000 0.000 0.000
Mo 1.528 1.528 1.768
Mo 1.528 1.528 4.832
As 0.000 0.000 3.300
CELL_PARAMETERS angstrom
3.057 0.000 0.000
0.000 3.057 0.000
0.000 0.000 6.599
! Energy of formation (eV per atom): 0.0203
! Relative energy among the computed polymorphs (meV per atom): 237.3


! CeCu4Pd8 PBE optimized geometry; values from VASP
&SYSTEM
  ibrav = 0, nat = 13, ntyp = 3
/
ATOMIC_SPECIES
Ce 140.12 Ce.upf
Cu 63.55 Cu.upf
Pd 106.42 Pd.upf
ATOMIC_POSITIONS angstrom
Ce 0.000 0.000 0.000
Cu 2.233 2.233 -1.261
Cu 2.233 -2.233 1.261
Cu -2.233 2.233 1.261
Cu 2.233 2.233 1.261
Pd 3.087 0.000 0.000
Pd 5.847 0.000 0.000
Pd 4.467 2.523 0.000
Pd 0.000 3.087 0.000
Pd 2.523 4.467 0.000
Pd 1.944 0.000 2.522
Pd 0.000 5.847 0.000
Pd 0.000 1.944 2.522
CELL_PARAMETERS angstrom
-4.467 4.467 2.522
4.467 -4.467 2.522
4.467 4.467 -2.522
! Energy of formation (eV per atom): -0.3187


Q: What is the energy of formation in the fourth record?
A: 0.5431 eV per atom


What did the fourth record say?
! AsPC2 PBE optimized geometry; values from VASP
&SYSTEM
  ibrav = 0, nat = 4, ntyp = 3
/
ATOMIC_SPECIES
As 74.92 As.upf
P 30.97 P.upf
C 12.01 C.upf
ATOMIC_POSITIONS angstrom
As 0.000 0.000 0.000
P 0.000 0.000 12.320
C 0.000 0.000 5.345
C 0.000 0.000 6.854
CELL_PARAMETERS angstrom
1.507 0.870 7.830
-1.507 0.870 7.830
0.000 -1.741 7.830
! Energy of formation (eV per atom): 0.5431
! Relative energy among the computed polymorphs (meV per atom): 0.0


Q: Among the records above, which one has the lowest energy of formation?
A: SmY3Tm2As6


Q: What is the energy of formation in the eighth record?
A: -0.3187 eV per atom